CrMo2Br: relaxed, PBEsol.

a = 5.165 Å, b = 5.165 Å, c = 5.165 Å
α = 146.90°, β = 129.06°, γ = 62.11°
Fractional coordinates of all 4 atoms:
1 Cr 0.000 0.000 0.000
2 Mo 0.239 0.739 0.500
3 Mo 0.525 0.525 0.000
4 Br 0.772 0.272 0.500

Results
**Electronic total energy**: -8.20 eV/atom
**SG**: Imm2, No. 44